# 1
CsBa2Rh | Alexandria | PBE | relaxed; energy of formation from the pure elements = -7.4 kJ/mol of atoms; DOS at the Fermi energy = 2.8 states/eV/f.u.; crystal system = monoclinic
1.0
4.0596 -2.3390 0.0000
4.0596 2.3390 0.0000
-0.0876 0.0000 11.7129
Cs Ba Rh
1 2 1
direct
0.0000 0.0000 0.0000
0.3316 0.3316 0.3651
0.6684 0.6684 0.6349
0.0000 0.0000 0.5000

# 2
CsBaRh2 | Alexandria | PBE | relaxed; energy of formation from the pure elements = 68.7 kJ/mol of atoms; DOS at the Fermi energy = 2.4 states/eV/f.u.; crystal system = cubic
1.0
0.0000 3.7710 3.7710
3.7710 0.0000 3.7710
3.7710 3.7710 0.0000
Cs Ba Rh
1 1 2
direct
0.0000 0.0000 0.0000
0.5000 0.5000 0.5000
0.2500 0.2500 0.2500
0.7500 0.7500 0.7500

# 3
CsBaRh2 | Alexandria | PBE | relaxed; energy of formation from the pure elements = 65.1 kJ/mol of atoms; DOS at the Fermi energy = 2.8 states/eV/f.u.; crystal system = tetragonal
1.0
-2.6248 2.6248 10.4128
2.6248 -2.6248 10.4128
2.6248 2.6248 -10.4128
Cs Ba Rh
2 2 4
direct
0.0000 0.0000 0.0000
0.7500 0.2500 0.5000
0.2500 0.7500 0.5000
0.5000 0.5000 0.0000
0.3131 0.6250 0.1881
0.3750 0.5631 0.6881
0.4369 0.1250 0.8119
0.8750 0.6869 0.3119

# 4
CsBa2Rh | Alexandria | PBE | relaxed; energy of formation from the pure elements = 32.8 kJ/mol of atoms; DOS at the Fermi energy = 1.9 states/eV/f.u.; crystal system = cubic
1.0
0.0000 4.2335 4.2335
4.2335 0.0000 4.2335
4.2335 4.2335 0.0000
Cs Ba Rh
1 2 1
direct
0.0000 0.0000 0.0000
0.2500 0.2500 0.2500
0.7500 0.7500 0.7500
0.5000 0.5000 0.5000

# 5
CsBa2Rh | Alexandria | PBE | relaxed; energy of formation from the pure elements = 3.6 kJ/mol of atoms; DOS at the Fermi energy = 4.0 states/eV/f.u.; crystal system = tetragonal
1.0
3.9896 0.0000 0.0000
0.0000 3.9896 0.0000
0.0000 0.0000 12.3660
Cs Ba Rh
1 2 1
direct
0.0000 0.0000 0.0000
0.5000 0.5000 0.3571
0.5000 0.5000 0.6429
0.0000 0.0000 0.5000

# 6
Cs3Ba12Rh5 | Alexandria | PBE | relaxed; energy of formation from the pure elements = 12.2 kJ/mol of atoms; DOS at the Fermi energy = 20.1 states/eV/f.u.; crystal system = cubic
1.0
-10.3366 10.3366 10.3366
10.3366 -10.3366 10.3366
10.3366 10.3366 -10.3366
Cs Ba Rh
12 48 20
direct
0.1250 0.2500 0.3750
0.1250 0.3750 0.7500
0.2500 0.3750 0.1250
0.2500 0.8750 0.6250
0.3750 0.1250 0.2500
0.3750 0.7500 0.1250
0.6250 0.2500 0.8750
0.6250 0.8750 0.7500
0.7500 0.1250 0.3750
0.7500 0.6250 0.8750
0.8750 0.6250 0.2500
0.8750 0.7500 0.6250
0.0080 0.6886 0.0970
0.0080 0.8194 0.9110
0.0890 0.5970 0.9084
0.0890 0.9920 0.1806
0.0916 0.6806 0.6886
0.0916 0.9110 0.4030
0.0970 0.0080 0.6886
0.0970 0.5890 0.4084
0.1806 0.0890 0.9920
0.1806 0.5916 0.1886
0.1886 0.1806 0.5916
0.1886 0.5080 0.5970
0.3114 0.9030 0.9920
0.3114 0.9084 0.3194
0.3194 0.3114 0.9084
0.3194 0.5080 0.4110
0.4030 0.0916 0.9110
0.4030 0.8114 0.4920
0.4084 0.0970 0.5890
0.4084 0.8114 0.8194
0.4110 0.3194 0.5080
0.4110 0.5916 0.9030
0.4920 0.4030 0.8114
0.4920 0.5890 0.6806
0.5080 0.4110 0.3194
0.5080 0.5970 0.1886
0.5890 0.4084 0.0970
0.5890 0.6806 0.4920
0.5916 0.1886 0.1806
0.5916 0.9030 0.4110
0.5970 0.1886 0.5080
0.5970 0.9084 0.0890
0.6806 0.4920 0.5890
0.6806 0.6886 0.0916
0.6886 0.0916 0.6806
0.6886 0.0970 0.0080
0.8114 0.4920 0.4030
0.8114 0.8194 0.4084
0.8194 0.4084 0.8114
0.8194 0.9110 0.0080
0.9030 0.4110 0.5916
0.9030 0.9920 0.3114
0.9084 0.0890 0.5970
0.9084 0.3194 0.3114
0.9110 0.0080 0.8194
0.9110 0.4030 0.0916
0.9920 0.1806 0.0890
0.9920 0.3114 0.9030
0.0000 0.0000 0.0000
0.0000 0.0000 0.5000
0.0000 0.5000 0.0000
0.0000 0.5000 0.5000
0.1250 0.7500 0.8750
0.1250 0.8750 0.2500
0.2500 0.1250 0.8750
0.2500 0.6250 0.3750
0.3750 0.2500 0.6250
0.3750 0.6250 0.7500
0.5000 0.0000 0.0000
0.5000 0.0000 0.5000
0.5000 0.5000 0.0000
0.5000 0.5000 0.5000
0.6250 0.3750 0.2500
0.6250 0.7500 0.3750
0.7500 0.3750 0.6250
0.7500 0.8750 0.1250
0.8750 0.1250 0.7500
0.8750 0.2500 0.1250